A relaxed structure of Ca2ZrBr. Source: Alexandria via LeMat-Bulk, functional PBE.

Lattice parameters (Å, degrees): 3.531 3.531 10.397 90.00 90.00 113.27
Last column: magnetic moment on the atom in μB.
Fractional coordinates of all 4 atoms:
Ca (0.000, 0.000, 0.964)  0.01
Ca (0.500, 0.500, 0.270)  0.04
Br (0.500, 0.500, 0.740)  0.00
Zr (0.000, 0.000, 0.527)  0.48

Summary:
DOS at the Fermi energy ... 3.24 states/eV/cell
Symmetry ... Cmm2
Formation energy (no corrections) ... -0.19 eV/atom

=====

A relaxed structure of Zr2Pd2Pt. Source: Alexandria via LeMat-Bulk, functional PBE.

Lattice parameters (Å, degrees): 5.051 5.051 5.333 61.73 61.73 90.00
Fractional coordinates of all 5 atoms:
Zr (0.750, 0.250, 0.500)
Zr (0.250, 0.750, 0.500)
Pd (0.349, 0.349, 0.303)
Pd (0.651, 0.651, 0.697)
Pt (0.000, 0.000, 0.000)

Summary:
DOS at the Fermi energy ... 1.44 states/eV/cell
Symmetry ... I4/mmm
Formation energy from the elements ... -0.344 eV/atom

=====

A relaxed structure of RbGaF3. Source: Alexandria via LeMat-Bulk, functional PBE.

Lattice parameters (Å, degrees): 6.944 6.900 4.010 89.15 91.42 99.38
Fractional coordinates of all 10 atoms:
Rb (0.384, 0.117, 0.276)
Rb (0.811, 0.687, 0.283)
Ga (0.895, 0.217, 0.788)
Ga (0.342, 0.603, 0.776)
F (0.501, 0.855, 0.778)
F (0.565, 0.479, 0.790)
F (0.108, 0.702, 0.772)
F (0.345, 0.599, 0.277)
F (0.970, 0.072, 0.195)
F (0.197, 0.333, 0.767)

Summary:
DOS at the Fermi energy ... 0.00 states/eV/cell
Symmetry ... P1
Formation energy (no corrections) ... -2.53 eV/atom

=====

A relaxed structure of Sr2InSnPd. Source: Alexandria via LeMat-Bulk, functional PBE.

Lattice parameters (Å, degrees): 5.836 5.080 5.836 90.00 90.00 90.00
Fractional coordinates of all 5 atoms:
Sr (0.000, 0.000, 0.500)
Sr (0.500, 0.000, 0.000)
Sn (0.000, 0.500, 0.000)
Pd (0.000, 0.000, 0.000)
In (0.500, 0.500, 0.500)

Summary:
DOS at the Fermi energy ... 3.67 states/eV/cell
Symmetry ... P4/mmm
Formation energy from the elements ... -0.431 eV/atom

=====

A relaxed structure of Pd2Pb3Au3. Source: Alexandria via LeMat-Bulk, functional PBE.

Lattice parameters (Å, degrees): 3.635 5.615 17.880 90.00 90.00 108.88
Fractional coordinates of all 16 atoms:
Pd (0.767, 0.534, 0.873)
Pd (0.233, 0.466, 0.373)
Pd (0.767, 0.534, 0.627)
Pd (0.233, 0.466, 0.127)
Pb (0.957, 0.913, 0.390)
Pb (0.043, 0.087, 0.890)
Pb (0.957, 0.913, 0.110)
Pb (0.043, 0.087, 0.610)
Pb (0.668, 0.336, 0.250)
Pb (0.332, 0.664, 0.750)
Au (0.642, 0.284, 0.483)
Au (0.358, 0.716, 0.983)
Au (0.642, 0.284, 0.017)
Au (0.358, 0.716, 0.517)
Au (0.400, 0.801, 0.250)
Au (0.600, 0.199, 0.750)

Summary:
DOS at the Fermi energy ... 5.41 states/eV/cell
Symmetry ... Cmcm
Formation energy from the elements ... -0.136 eV/atom

=====

A relaxed structure of AcLaSi. Source: Alexandria via LeMat-Bulk, functional PBE.

Lattice parameters (Å, degrees): 5.224 5.224 5.224 60.00 60.00 60.00
Fractional coordinates of all 3 atoms:
Ac (0.500, 0.500, 0.500)
Si (0.250, 0.250, 0.250)
La (0.000, 0.000, 0.000)

Summary:
DOS at the Fermi energy ... 4.21 states/eV/cell
Symmetry ... F-43m
Formation energy (no corrections) ... -0.38 eV/atom

=====

no.,total energy (eV per atom)
1,-3.746
2,-7.049
3,-4.451
4,-3.491
5,-4.054
6,-5.202